Tb3Pr2Tl4 | PBE-GGA | relaxed

Results
Space-group type: No. 64
Excess energy over the best structure of this formula in the dataset in eV per formula unit: 0.42
E_form in kJ/mol of formula units: -221

Cell and atoms, written as CIF:
```
data_Tb3Pr2Tl4
_chemical_formula_sum 'Tb6 Pr4 Tl8'
_cell_length_a 9.1393
_cell_length_b 9.1393
_cell_length_c 9.1741
_cell_angle_alpha 90.00
_cell_angle_beta 90.00
_cell_angle_gamma 133.37
_symmetry_space_group_name_H-M 'P 1'
_symmetry_Int_Tables_number 1
loop_
_symmetry_equiv_pos_as_xyz
'x,y,z'
loop_
_atom_site_label
_atom_site_type_symbol
_atom_site_fract_x
_atom_site_fract_y
_atom_site_fract_z
Tb1 Tb 0.0000 0.0000 0.0000
Tb2 Tb 0.0330 0.4670 0.2500
Tb3 Tb 0.4670 0.0330 0.7500
Tb4 Tb 0.5000 0.5000 0.5000
Tb5 Tb 0.5330 0.9670 0.2500
Tb6 Tb 0.9670 0.5330 0.7500
Pr1 Pr 0.1087 0.8913 0.4229
Pr2 Pr 0.3913 0.6087 0.9229
Pr3 Pr 0.6087 0.3913 0.0771
Pr4 Pr 0.8913 0.1087 0.5771
Tl1 Tl 0.1843 0.8157 0.0411
Tl2 Tl 0.2163 0.2837 0.2500
Tl3 Tl 0.2837 0.2163 0.7500
Tl4 Tl 0.3157 0.6843 0.5411
Tl5 Tl 0.6843 0.3157 0.4589
Tl6 Tl 0.7163 0.7837 0.2500
Tl7 Tl 0.7837 0.7163 0.7500
Tl8 Tl 0.8157 0.1843 0.9589
```